PrDy2Os | GGA-PBE | relaxed

Values from the calculation:
relative energy among the computed polymorphs: 57 meV/atom
total magnetic moment: 0.00 μB/cell
formation energy: -0.132 eV per atom

a b c (Å): 3.429 3.429 9.366
angles (deg): 90.00 90.00 90.00
Sites, in units of the cell vectors:
Pr 0.500 0.500 0.500
Dy 0.000 0.000 0.176
Dy 0.000 0.000 0.824
Os 0.500 0.500 0.000


PrDyOs | GGA-PBE | relaxed

Values from the calculation:
relative energy among the computed polymorphs: 0 meV/atom
total magnetic moment: 0.00 μB/cell
formation energy: -0.100 eV per atom

a b c (Å): 3.454 3.454 7.239
angles (deg): 103.80 103.80 90.00
Sites, in units of the cell vectors:
Dy 0.289 0.289 0.577
Os 0.671 0.671 0.342
Pr 0.040 0.040 0.080


PrDy2Os | GGA-PBE | relaxed

Values from the calculation:
relative energy among the computed polymorphs: 0 meV/atom
total magnetic moment: 0.00 μB/cell
formation energy: -0.189 eV per atom

a b c (Å): 6.458 7.480 9.174
angles (deg): 90.00 90.00 90.00
Sites, in units of the cell vectors:
Pr 0.130 0.960 0.750
Pr 0.370 0.460 0.750
Pr 0.630 0.540 0.250
Pr 0.870 0.040 0.250
Os 0.946 0.615 0.750
Os 0.054 0.385 0.250
Os 0.446 0.885 0.250
Os 0.554 0.115 0.750
Dy 0.335 0.174 0.435
Dy 0.835 0.326 0.565
Dy 0.835 0.326 0.935
Dy 0.665 0.826 0.565
Dy 0.165 0.674 0.065
Dy 0.165 0.674 0.435
Dy 0.335 0.174 0.065
Dy 0.665 0.826 0.935


Pr2DyOs | GGA-PBE | relaxed

Values from the calculation:
relative energy among the computed polymorphs: 548 meV/atom
total magnetic moment: 0.01 μB/cell
formation energy: 0.429 eV per atom

a b c (Å): 3.618 3.618 11.151
angles (deg): 80.66 80.66 60.00
Sites, in units of the cell vectors:
Os 0.500 0.500 0.500
Pr 0.894 0.894 0.318
Pr 0.106 0.106 0.682
Dy 0.000 0.000 0.000


PrDyZnOs | GGA-PBE | relaxed

Values from the calculation:
total magnetic moment: 0.00 μB/cell
formation energy: -0.155 eV per atom

a b c (Å): 5.016 5.016 5.016
angles (deg): 60.00 60.00 60.00
Sites, in units of the cell vectors:
Os 0.750 0.750 0.750
Zn 0.250 0.250 0.250
Dy 0.000 0.000 0.000
Pr 0.500 0.500 0.500


Dy4OsPt | GGA-PBE | relaxed

Values from the calculation:
relative energy among the computed polymorphs: 0 meV/atom
total magnetic moment: 0.00 μB/cell
formation energy: -0.607 eV per atom

a b c (Å): 6.306 7.891 7.891
angles (deg): 110.44 108.20 108.20
Sites, in units of the cell vectors:
Dy 0.594 0.299 0.950
Dy 0.727 0.236 0.363
Dy 0.406 0.701 0.050
Dy 0.094 0.950 0.299
Dy 0.773 0.637 0.764
Dy 0.906 0.050 0.701
Dy 0.273 0.764 0.637
Dy 0.227 0.363 0.236
Pt 0.250 0.363 0.637
Pt 0.750 0.637 0.363
Os 0.250 0.002 0.998
Os 0.750 0.998 0.002


Dy4OsPt | GGA-PBE | relaxed

Values from the calculation:
relative energy among the computed polymorphs: 87 meV/atom
total magnetic moment: 0.00 μB/cell
formation energy: -0.520 eV per atom

a b c (Å): 6.883 6.886 6.900
angles (deg): 90.00 88.75 90.00
Sites, in units of the cell vectors:
Os 0.500 0.500 0.000
Os 0.000 0.000 0.000
Dy 0.673 0.167 0.839
Dy 0.327 0.833 0.161
Dy 0.340 0.334 0.326
Dy 0.160 0.834 0.674
Dy 0.840 0.166 0.326
Dy 0.173 0.333 0.839
Dy 0.827 0.667 0.161
Dy 0.660 0.666 0.674
Pt 0.500 0.000 0.500
Pt 0.000 0.500 0.500


Dy2Si4OsPt3 | GGA-PBE | relaxed

Values from the calculation:
E_form (uncorrected): -1034 meV per atom
total magnetic moment: 0.00 μB/cell

a b c (Å): 4.143 4.143 9.965
angles (deg): 90.00 90.00 90.00
Sites, in units of the cell vectors:
Si 0.500 0.500 0.000
Si 0.000 0.500 0.369
Si 0.500 0.000 0.631
Si 0.000 0.000 0.000
Os 0.500 0.500 0.500
Pt 0.000 0.500 0.128
Pt 0.000 0.000 0.500
Pt 0.500 0.000 0.872
Dy 0.500 0.000 0.247
Dy 0.000 0.500 0.753


SmDyOsPt | GGA-PBE | relaxed

Values from the calculation:
total magnetic moment: 0.00 μB/cell
formation energy: -0.573 eV per atom

a b c (Å): 4.924 4.924 4.924
angles (deg): 60.00 60.00 60.00
Sites, in units of the cell vectors:
Sm 0.500 0.500 0.500
Dy 0.000 0.000 0.000
Os 0.250 0.250 0.250
Pt 0.750 0.750 0.750


TbDyOsPt | GGA-PBE | relaxed

Values from the calculation:
total magnetic moment: 0.00 μB/cell
formation energy: -0.644 eV per atom

a b c (Å): 4.881 4.881 4.881
angles (deg): 60.00 60.00 60.00
Sites, in units of the cell vectors:
Dy 0.500 0.500 0.500
Os 0.250 0.250 0.250
Tb 0.000 0.000 0.000
Pt 0.750 0.750 0.750


DyTmOsPt | GGA-PBE | relaxed

Values from the calculation:
total magnetic moment: 0.00 μB/cell
formation energy: -0.701 eV per atom

a b c (Å): 4.837 4.837 4.837
angles (deg): 60.00 60.00 60.00
Sites, in units of the cell vectors:
Dy 0.250 0.250 0.250
Pt 0.000 0.000 0.000
Tm 0.750 0.750 0.750
Os 0.500 0.500 0.500


DyYOsPt | GGA-PBE | relaxed

Values from the calculation:
total magnetic moment: 0.00 μB/cell
formation energy: -0.643 eV per atom

a b c (Å): 4.876 4.876 4.876
angles (deg): 60.00 60.00 60.00
Sites, in units of the cell vectors:
Os 0.250 0.250 0.250
Dy 0.500 0.500 0.500
Pt 0.750 0.750 0.750
Y 0.000 0.000 0.000


DyPuOs | GGA-PBE | relaxed

Values from the calculation:
relative energy among the computed polymorphs: 0 meV/atom
total magnetic moment: 10.94 μB/cell
formation energy: -0.047 eV per atom

a b c (Å): 3.336 6.695 6.751
angles (deg): 103.14 89.98 75.63
Site moments in Bohr magnetons follow the coordinates.
Sites, in units of the cell vectors:
Os 0.063 0.065 0.388  -0.27
Os 0.064 0.063 0.908  -0.27
Pu 0.700 0.789 0.086  5.21
Pu 0.426 0.339 0.210  5.21
Dy 0.695 0.799 0.587  0.17
Dy 0.431 0.329 0.709  0.17


DyPuOs | GGA-PBE | relaxed

Values from the calculation:
relative energy among the computed polymorphs: 232 meV/atom
total magnetic moment: 15.54 μB/cell
formation energy: 0.184 eV per atom

a b c (Å): 4.690 7.064 7.064
angles (deg): 120.00 90.00 90.00
Site moments in Bohr magnetons follow the coordinates.
Sites, in units of the cell vectors:
Pu 0.000 0.000 0.000  5.08
Pu 0.500 0.667 0.333  5.08
Pu 0.500 0.333 0.667  5.08
Os 0.500 0.764 0.000  -0.47
Os 0.500 0.236 0.236  -0.47
Os 0.500 0.000 0.764  -0.47
Dy 0.000 0.541 0.541  0.37
Dy 0.000 0.459 0.000  0.37
Dy 0.000 0.000 0.459  0.37


DyPu2Os | GGA-PBE | relaxed

Values from the calculation:
total magnetic moment: 11.05 μB/cell
formation energy: 0.399 eV per atom

a b c (Å): 3.284 3.284 10.887
angles (deg): 81.32 81.32 60.00
Site moments in Bohr magnetons follow the coordinates.
Sites, in units of the cell vectors:
Os 0.500 0.500 0.500  -0.56
Dy 0.000 0.000 0.000  0.22
Pu 0.101 0.101 0.698  5.37
Pu 0.899 0.899 0.302  5.37


DyPuOs | GGA-PBE | relaxed

Values from the calculation:
relative energy among the computed polymorphs: 4 meV/atom
total magnetic moment: 5.46 μB/cell
formation energy: -0.043 eV per atom

a b c (Å): 3.318 3.318 6.922
angles (deg): 103.87 103.87 90.00
Site moments in Bohr magnetons follow the coordinates.
Sites, in units of the cell vectors:
Dy 0.034 0.034 0.067  0.22
Pu 0.299 0.299 0.597  5.17
Os 0.668 0.668 0.336  -0.31


DyPuOs | GGA-PBE | relaxed

Values from the calculation:
relative energy among the computed polymorphs: 50 meV/atom
total magnetic moment: 4.99 μB/cell
formation energy: 0.003 eV per atom

a b c (Å): 4.749 4.749 4.749
angles (deg): 60.00 60.00 60.00
Site moments in Bohr magnetons follow the coordinates.
Sites, in units of the cell vectors:
Dy 0.500 0.500 0.500  0.10
Os 0.250 0.250 0.250  -0.40
Pu 0.000 0.000 0.000  5.09


DyPuTcOs | GGA-PBE | relaxed

Values from the calculation:
total magnetic moment: 3.79 μB/cell
formation energy: -0.009 eV per atom

a b c (Å): 4.790 4.790 4.790
angles (deg): 60.00 60.00 60.00
Site moments in Bohr magnetons follow the coordinates.
Sites, in units of the cell vectors:
Tc 0.750 0.750 0.750  -0.60
Os 0.250 0.250 0.250  -0.37
Pu 0.000 0.000 0.000  4.64
Dy 0.500 0.500 0.500  0.00


DyPuTlOs | GGA-PBE | relaxed

Values from the calculation:
total magnetic moment: 4.71 μB/cell
formation energy: -0.168 eV per atom

a b c (Å): 3.315 3.315 8.593
angles (deg): 90.00 90.00 90.00
Site moments in Bohr magnetons follow the coordinates.
Sites, in units of the cell vectors:
Pu 0.500 0.500 0.369  5.02
Dy 0.500 0.500 0.775  0.06
Tl 0.000 0.000 0.071  -0.05
Os 0.000 0.000 0.570  -0.41


Dy2ReOs3 | GGA-PBE | relaxed

Values from the calculation:
total magnetic moment: 0.00 μB/cell
formation energy: -0.289 eV per atom

a b c (Å): 5.447 5.447 8.517
angles (deg): 90.00 90.00 120.00
Sites, in units of the cell vectors:
Os 0.654 0.827 0.250
Os 0.346 0.173 0.750
Os 0.827 0.654 0.750
Os 0.827 0.173 0.750
Os 0.173 0.827 0.250
Os 0.173 0.346 0.250
Dy 0.667 0.333 0.066
Dy 0.667 0.333 0.434
Dy 0.333 0.667 0.566
Dy 0.333 0.667 0.934
Re 0.000 0.000 0.500
Re 0.000 0.000 0.000